Record 1
MgNi | PBE-GGA | relaxed

Cell lengths 10.0881, 2.9552, 6.3516 Å; angles 90.00, 109.97, 90.00 degrees
With the nearest neighbours (Å) after each atom.
Space group C2/m (No. 12)
One atom of each set of equivalent atoms:
Mg  0.0000  0.0000  0.0000 [2 per cell]  4 Ni 2.68, 2 Mg 2.96
Mg  0.1795  0.5000  0.7785 [4 per cell]  5 Ni 2.53-2.62
Ni  0.0000  0.0000  0.5000 [2 per cell]  4 Ni 2.50, 4 Mg 2.53
Ni  0.1489  0.5000  0.3536 [4 per cell]  4 Ni 2.50-2.69, 5 Mg 2.61-2.68

Summary:
E_tot, eV/atom: -3.718
Total moment, μB per formula unit: 0.0
Fermi-level density of states, states/eV/atom: 0.7467
Formation enthalpy at 0 K, eV/atom: -0.030

=====

Record 2
AlRhSe2N | PBE-GGA | relaxed

Cell lengths 5.1274, 5.1274, 3.6363 Å; angles 90.00, 90.00, 90.00 degrees
With the nearest neighbours (Å) after each atom.
Space group P4/mmm (No. 123)
One atom of each set of equivalent atoms:
Al  0.0000  0.0000  0.0000 [1 per cell]  8 Se 3.14
Rh  0.5000  0.5000  0.5000 [1 per cell]  2 N 1.82
Se  0.0000  0.5000  0.5000 [2 per cell]  2 Rh 2.56
N  0.5000  0.5000  0.0000 [1 per cell]  2 Rh 1.82

Summary:
E_tot, eV/atom: -4.913
E above lowest polymorph, meV/atom: 0.0
Total moment, μB per formula unit: 0.0
Uncorrected formation energy, eV per atom: 0.36
Fermi-level density of states, states/eV/atom: 0.6292

=====

Record 3
PmTmPu2S4 | PBE-GGA | relaxed

Cell lengths 6.8330, 3.9360, 6.8572 Å; angles 90.00, 109.30, 90.00 degrees
With the nearest neighbours (Å) after each atom.
Space group P2/m (No. 10)
One atom of each set of equivalent atoms:
Pm  0.0000  0.0000  0.0000 [1 per cell]  6 S 2.82
Tm  0.5000  0.5000  0.0000 [1 per cell]  6 S 2.75-2.76
Pu  0.0000  0.5000  0.5000 [1 per cell]  6 S 2.83
Pu  0.5000  0.0000  0.5000 [1 per cell]  6 S 2.76-2.77
S  0.2583  0.5000  0.2519 [2 per cell]  1 Tm 2.76, 3 Pu 2.76-2.83, 2 Pm 2.82
S  0.2592  0.0000  0.7544 [2 per cell]  2 Tm 2.75, 3 Pu 2.77-2.83, 1 Pm 2.82

Summary:
E_tot, eV/atom: -8.694
Total moment, μB per formula unit: 11.4
Uncorrected formation energy, eV per atom: -1.89
Fermi-level density of states, states/eV/atom: 1.9320

=====

Record 4
CsSi6 | PBE-GGA | relaxed

Cell lengths 6.8255, 6.8255, 6.8255 Å; angles 90.00, 90.00, 90.00 degrees
With the nearest neighbours (Å) after each atom.
Space group Im-3m (No. 229)
One atom of each set of equivalent atoms:
Cs  0.0000  0.0000  0.0000 [2 per cell]  24 Si 3.82
Si  0.0000  0.2500  0.5000 [12 per cell]  4 Si 2.41

Summary:
E_tot, eV/atom: -4.753
Total moment, μB per formula unit: 0.0
Uncorrected formation energy, eV per atom: 0.02
Fermi-level density of states, states/eV/atom: 0.2631

=====

Record 5
ZnTc2Cl | PBE-GGA | relaxed

Cell lengths 3.7071, 3.7071, 9.1975 Å; angles 90.00, 90.00, 90.00 degrees
With the nearest neighbours (Å) after each atom.
Space group I4/mmm (No. 139)
One atom of each set of equivalent atoms:
Zn  0.0000  0.0000  0.0000 [2 per cell]  4 Cl 2.62
Tc  0.0000  0.5000  0.2500 [4 per cell]  4 Tc 2.62
Cl  0.0000  0.0000  0.5000 [2 per cell]  4 Zn 2.62

Summary:
E_tot, eV/atom: -5.022
E above lowest polymorph, meV/atom: 984.1
Total moment, μB per formula unit: 0.0
Uncorrected formation energy, eV per atom: 0.94
Fermi-level density of states, states/eV/atom: 1.2911

=====

Record 6
CeErO4 | PBE-GGA | relaxed

Cell lengths 3.6723, 3.6723, 6.0720 Å; angles 90.00, 90.00, 90.00 degrees
With the nearest neighbours (Å) after each atom.
Space group P4/mmm (No. 123)
One atom of each set of equivalent atoms:
Ce  0.0000  0.0000  0.0000 [1 per cell]  8 O 2.38
Er  0.0000  0.0000  0.5000 [1 per cell]  8 O 2.38
O  0.0000  0.5000  0.2494 [4 per cell]  2 Ce 2.38, 2 Er 2.38, 4 O 2.60

Summary:
E_tot, eV/atom: -7.772
Total moment, μB per formula unit: 0.6
Uncorrected formation energy, eV per atom: -2.72
Fermi-level density of states, states/eV/atom: 0.4080

=====

Record 7
CaReSi2 | PBE-GGA | relaxed

Cell lengths 6.3529, 6.3529, 6.3529 Å; angles 90.00, 90.00, 90.00 degrees
With the nearest neighbours (Å) after each atom.
Space group Fm-3m (No. 225)
One atom of each set of equivalent atoms:
Ca  0.0000  0.0000  0.0000 [4 per cell]  8 Si 2.75
Re  0.0000  0.0000  0.5000 [4 per cell]  8 Si 2.75
Si  0.2500  0.2500  0.2500 [8 per cell]  4 Re 2.75, 4 Ca 2.75

Summary:
E_tot, eV/atom: -6.217
Total moment, μB per formula unit: 0.0
Uncorrected formation energy, eV per atom: 0.11
Fermi-level density of states, states/eV/atom: 0.6410

=====

Record 8
Pm4CI3 | PBE-GGA | relaxed

Cell lengths 5.5871, 10.4439, 10.4788 Å; angles 90.00, 90.00, 90.00 degrees
With the nearest neighbours (Å) after each atom.
Space group Pmmn (No. 59, origin choice 2)
One atom of each set of equivalent atoms:
Pm  0.2500  0.0411  0.1526 [4 per cell]  1 C 2.31
Pm  0.2500  0.2500  0.8636 [2 per cell]  1 C 2.28
Pm  0.2500  0.7500  0.9274 [2 per cell]  2 C 2.80
C  0.2500  0.2500  0.0816 [2 per cell]  3 Pm 2.28-2.31
I  0.2500  0.5453  0.6836 [4 per cell]  4 Pm 3.28-3.62
I  0.2500  0.7500  0.2780 [2 per cell]  4 Pm 3.16-3.31

Summary:
E_tot, eV/atom: -4.792
Total moment, μB per formula unit: 0.0
Uncorrected formation energy, eV per atom: -0.68
Fermi-level density of states, states/eV/atom: 0.4242

=====

Record 9
Tl4Hg4Se | PBE-GGA | relaxed

Cell lengths 11.7733, 11.7733, 3.8201 Å; angles 90.00, 90.00, 90.00 degrees
With the nearest neighbours (Å) after each atom.
Space group I4/m (No. 87)
One atom of each set of equivalent atoms:
Tl  0.1413  0.1641  0.0000 [8 per cell]  2 Se 3.19, 5 Hg 3.40-3.55
Hg  0.0346  0.6574  0.5000 [8 per cell]  4 Hg 3.29, 5 Tl 3.40-3.55
Se  0.0000  0.0000  0.5000 [2 per cell]  8 Tl 3.19

Summary:
E_tot, eV/atom: -1.672
Total moment, μB per formula unit: 0.0
Uncorrected formation energy, eV per atom: -0.10
Fermi-level density of states, states/eV/atom: 0.4519

=====

Record 10
PrYTm | PBE-GGA | relaxed

Cell lengths 5.0868, 15.1835, 5.1002 Å; angles 90.00, 90.00, 90.00 degrees
With the nearest neighbours (Å) after each atom.
Space group Cmcm (No. 63)
One atom of each set of equivalent atoms:
Pr  0.0000  0.0848  0.2500 [4 per cell]  4 Tm 3.57, 6 Y 3.60-3.63, 2 Pr 3.62
Y  0.0000  0.4145  0.2500 [4 per cell]  4 Tm 3.56-3.57, 6 Pr 3.60-3.63, 2 Y 3.64
Tm  0.0000  0.2498  0.7500 [4 per cell]  4 Y 3.56-3.57, 4 Pr 3.57, 4 Tm 3.60

Summary:
E_tot, eV/atom: -5.211
E above lowest polymorph, meV/atom: 6.0
Total moment, μB per formula unit: 0.0
Fermi-level density of states, states/eV/atom: 1.5381
Formation enthalpy at 0 K, eV/atom: 0.028

=====

Record 11
Mg3Sn2Rh2 | PBE-GGA | relaxed

Cell lengths 7.9944, 4.6123, 7.6395 Å; angles 90.00, 110.57, 90.00 degrees
With the nearest neighbours (Å) after each atom.
Space group C2/m (No. 12)
One atom of each set of equivalent atoms:
Mg  0.0000  0.0000  0.0000 [2 per cell]  2 Mg 2.95, 6 Sn 3.04, 6 Rh 3.04-3.05
Mg  0.1371  0.0000  0.4119 [4 per cell]  4 Rh 2.73-3.04, 4 Mg 2.95, 3 Sn 3.05
Sn  0.0986  0.5000  0.7956 [4 per cell]  4 Rh 2.66-2.94
Rh  0.2351  0.5000  0.2067 [4 per cell]  4 Sn 2.66-2.94, 1 Mg 2.73

Summary:
E_tot, eV/atom: -4.408
Total moment, μB per formula unit: 0.0
Fermi-level density of states, states/eV/atom: 0.3380
Formation enthalpy at 0 K, eV/atom: -0.480

=====

Record 12
Ti3SiGe | PBE-GGA | relaxed

Cell lengths 6.3037, 6.3037, 4.9343 Å; angles 90.00, 90.00, 120.00 degrees
With the nearest neighbours (Å) after each atom.
Space group P6_3/mmc (No. 194)
One atom of each set of equivalent atoms:
Ti  0.1923  0.3846  0.2500 [6 per cell]  2 Si 2.44, 2 Ti 2.67
Si  0.0000  0.0000  0.0000 [2 per cell]  6 Ti 2.44, 2 Si 2.47
Ge  0.3333  0.6667  0.7500 [2 per cell]  12 Ti 2.91-3.16

Summary:
E_tot, eV/atom: -6.953
E above lowest polymorph, meV/atom: 0.0
Total moment, μB per formula unit: 0.6
Uncorrected formation energy, eV per atom: -0.21
Fermi-level density of states, states/eV/atom: 0.9102